1.
This record from the Alexandria database describes a relaxed Nd3NpTl3Te8 crystal. The functional is PBE.

Summary:
magnetization	3.0	μB/cell
Fermi-level density of states	4.905	states/eV per cell
E_form (uncorrected)	-0.968	eV per atom
symmetry	R-3m, No. 166
ρ	6.560	g cm⁻³

a = 9.0419 Å, b = 9.0431 Å, c = 9.7496 Å
α = 117.63°, β = 90.00°, γ = 120.00°
Closest atoms and distances in Å follow each position.
Positions (direct):
Te 0.2331 0.4662 0.7146  1 Np 3.09, 2 Nd 3.19
Te 0.7485 0.9816 0.7146  1 Np 3.09, 2 Nd 3.19
Te 0.7669 0.0184 0.2854  1 Np 3.09, 2 Nd 3.19
Te 0.2515 0.0184 0.2854  1 Np 3.09, 2 Nd 3.19
Nd 0.0000 0.5000 0.5000  6 Te 3.19
Te 0.2594 0.5188 0.2783  3 Nd 3.19, 3 Tl 3.47
Tl 0.5000 0.5000 0.0000  6 Te 3.47-3.48
Np 0.0000 0.0000 0.5000  6 Te 3.09
Nd 0.5000 0.0000 0.5000  6 Te 3.19
Nd 0.5000 0.5000 0.5000  6 Te 3.19
Te 0.7406 0.4812 0.7217  3 Nd 3.19, 3 Tl 3.47
Te 0.2331 0.9816 0.7146  1 Np 3.09, 2 Nd 3.19
Tl 0.0000 0.0000 0.0000  6 Te 3.47-3.48
Tl 0.0000 0.5000 0.0000  6 Te 3.47-3.48
Te 0.7669 0.5338 0.2854  1 Np 3.09, 2 Nd 3.19

=====

2.
This record from the Alexandria database describes a relaxed NdNp3Tl3Te8 crystal. The functional is PBE.

Summary:
magnetization	11.0	μB/cell
Fermi-level density of states	26.762	states/eV per cell
E_form (uncorrected)	-0.702	eV per atom
symmetry	C2/m, No. 12
ρ	7.323	g cm⁻³

a = 8.9306 Å, b = 8.9316 Å, c = 9.6646 Å
α = 117.51°, β = 89.98°, γ = 120.04°
Closest atoms and distances in Å follow each position.
Positions (direct):
Tl 0.5000 0.5000 0.0000  6 Te 3.48-3.50
Te 0.7564 0.0272 0.2838  2 Np 3.10, 1 Nd 3.19
Te 0.2437 0.4873 0.7164  2 Np 3.10, 1 Nd 3.19
Nd 0.0000 0.0000 0.5000  6 Te 3.19
Te 0.7563 0.5127 0.2836  2 Np 3.10, 1 Nd 3.19
Np 0.0000 0.5000 0.5000  6 Te 3.10-3.11
Tl 0.0000 0.0000 0.0000  6 Te 3.48-3.50
Te 0.7292 0.9728 0.7164  2 Np 3.10, 1 Nd 3.19
Tl 0.0000 0.5000 0.0000  6 Te 3.48-3.50
Np 0.5000 0.5000 0.5000  6 Te 3.10-3.11
Te 0.7378 0.4758 0.7136  3 Np 3.11, 3 Tl 3.48
Np 0.5000 0.0000 0.5000  6 Te 3.10-3.11
Te 0.2436 0.9728 0.7163  2 Np 3.10, 1 Nd 3.19
Te 0.2622 0.5242 0.2864  3 Np 3.11, 3 Tl 3.48
Te 0.2708 0.0272 0.2836  2 Np 3.10, 1 Nd 3.19